Below is crystalline KSeCl3 at its relaxed geometry, with properties calculated at the GGA-PBE level.

total DFT energy (no corrections): -14.28 eV/cell
D(E_F): 1.05 states/eV per cell
excess energy over the best structure of this formula in the dataset: 83 meV/atom
magnetic moment: 0.000 μB/atom
energy relative to the elements, uncorrected: -0.83 eV per atom

Cell lengths 5.232, 5.232, 5.232 Å; angles 90.00, 90.00, 90.00 degrees
Space group Pm-3m (No. 221)
Symmetry-distinct sites (fractional):
1 K 0.000 0.000 0.000
2 Se 0.500 0.500 0.500
3 Cl 0.000 0.500 0.500